# PaFe2O4 (PBE+U, relaxed)
data_PaFe2O4
_cell_length_a 12.337
_cell_length_b 3.576
_cell_length_c 4.878
_cell_angle_alpha 90.00
_cell_angle_beta 109.11
_cell_angle_gamma 90.00
_space_group_name_H-M_alt 'C 1 2/m 1'
_space_group_IT_number 12
loop_
_space_group_symop_operation_xyz
'x,y,z'
'-x,-y,-z'
'-x,y,-z'
'x,-y,z'
'x+1/2,y+1/2,z'
'-x+1/2,-y+1/2,-z'
'-x+1/2,y+1/2,-z'
'x+1/2,-y+1/2,z'
loop_
_atom_site_label
_atom_site_fract_x
_atom_site_fract_y
_atom_site_fract_z
Pa1 0.000 0.000 0.000
Fe1 0.195 0.500 0.684
O1 0.066 0.500 0.831
O2 0.152 0.000 0.381
# N(E_F): 2.248 states/eV per cell
# DFT total energy: -8.0285 eV per atom
# V: 14.5 Å³/atom
# crystal system: monoclinic
# magnetic moment: 7.1 μB/f.u.